(1)
A plane-wave DFT calculation with PBE was carried out for a relaxed structure of SbAsHBr2.

Output
The space-group type is P4/mmm, No. 123. Its crystal system is tetragonal. The calculation puts the final energy at -12.67 eV per cell. As for the calculated volume: 179 Å³/f.u.

abc: 5.688 5.688 5.546
angles: 90.00 90.00 90.00
Sites, in units of the cell vectors:
Sb1 0.000 0.000 0.000
As1 0.000 0.000 0.500
H1 0.500 0.500 0.500
Br1 0.000 0.500 0.000
Br2 0.500 0.000 0.000

(2)
A plane-wave DFT calculation with PBE was carried out for a relaxed structure of Nd4Y2Tm3.

Output
The space-group type is C2/c, No. 15. Its crystal system is monoclinic. As for the calculated volume: 295 Å³/f.u. Its energy relative to the elements is 0.0862 eV per atom.

abc: 10.054 10.054 6.189
angles: 95.02 95.02 71.38
Sites, in units of the cell vectors:
Nd1 0.095 0.812 0.986
Nd2 0.140 0.432 0.155
Nd3 0.188 0.905 0.514
Nd4 0.432 0.140 0.655
Nd5 0.568 0.860 0.345
Nd6 0.812 0.095 0.486
Nd7 0.860 0.568 0.845
Nd8 0.905 0.188 0.014
Y1 0.246 0.518 0.682
Y2 0.482 0.754 0.818
Y3 0.518 0.246 0.182
Y4 0.754 0.482 0.318
Tm1 0.069 0.266 0.577
Tm2 0.266 0.069 0.077
Tm3 0.400 0.600 0.250
Tm4 0.600 0.400 0.750
Tm5 0.734 0.931 0.923
Tm6 0.931 0.734 0.423

(3)
A plane-wave DFT calculation with PBE was carried out for a relaxed structure of Ca2HfSbO.

Output
The space-group type is P4/mmm, No. 123. Its crystal system is tetragonal. The calculation puts the final energy at -26.31 eV per cell. As for the calculated volume: 149 Å³/f.u.

abc: 6.138 6.138 3.948
angles: 90.00 90.00 90.00
Sites, in units of the cell vectors:
Ca1 0.000 0.500 0.000
Ca2 0.500 0.000 0.000
Hf1 0.000 0.000 0.000
Sb1 0.500 0.500 0.500
O1 0.000 0.000 0.500

no.,total moment (μB/f.u.)
1,2.70
2,0.00
3,0.00